First-principles (GGA-PBE) data for a geometry-optimized TlAsPtCl structure, as listed in the Alexandria database.

The space group is Cm (No. 8) and the conventional cell measures 6.449, 3.739 and 8.198 Å, with angles of 90.00, 105.18 and 90.00 degrees. The asymmetric unit holds Tl at (0.000, 0.000, 0.000), As at (0.023, 0.500, 0.573), Pt at (0.240, 0.000, 0.726) and Cl at (0.248, 0.500, 0.249).

The magnetization is 0.00 μB/cell. The uncorrected formation energy comes out at -32 kJ per mole of atoms. The density of states at the Fermi level comes out at 2.51 states/eV/cell. The polymorph energy (0 for the lowest one) is 0.019 eV/atom. Its crystal system is monoclinic.

=====

First-principles (GGA-PBE) data for a geometry-optimized TlAsPtCl structure, as listed in the Alexandria database.

The space group is Cm (No. 8) and the conventional cell measures 17.867, 3.347 and 3.347 Å, with angles of 90.00, 99.66 and 90.00 degrees. The asymmetric unit holds Tl at (0.000, 0.000, 0.000), As at (0.275, 0.000, 0.310), Pt at (0.335, 0.500, 0.865) and Cl at (0.098, 0.500, 0.588).

The magnetization is 0.00 μB/cell. The uncorrected formation energy comes out at -28 kJ per mole of atoms. The density of states at the Fermi level comes out at 2.55 states/eV/cell. The polymorph energy (0 for the lowest one) is 0.058 eV/atom. Its crystal system is monoclinic.

=====

First-principles (GGA-PBE) data for a geometry-optimized TlAsPtCl structure, as listed in the Alexandria database.

The space group is Cm (No. 8) and the conventional cell measures 6.574, 3.766 and 8.166 Å, with angles of 90.00, 90.41 and 90.00 degrees. The asymmetric unit holds Tl at (0.000, 0.000, 0.000), As at (0.335, 0.000, 0.305), Pt at (0.168, 0.500, 0.439) and Cl at (0.165, 0.500, 0.748).

The magnetization is 0.00 μB/cell. The uncorrected formation energy comes out at -34 kJ per mole of atoms. The density of states at the Fermi level comes out at 2.56 states/eV/cell. The polymorph energy (0 for the lowest one) is 0.000 eV/atom. Its crystal system is monoclinic.

=====

First-principles (GGA-PBE) data for a geometry-optimized TlAsPtCl structure, as listed in the Alexandria database.

The space group is Amm2 (No. 38) and the conventional cell measures 3.476, 6.168 and 9.531 Å, with angles of 90.00, 90.00 and 90.00 degrees. The asymmetric unit holds Tl at (0.000, 0.000, 0.000), As at (0.500, 0.000, 0.321), Pt at (0.000, 0.000, 0.489) and Cl at (0.500, 0.000, 0.691).

The magnetization is 0.11 μB/cell. The uncorrected formation energy comes out at -23 kJ per mole of atoms. The density of states at the Fermi level comes out at 4.49 states/eV/cell. The polymorph energy (0 for the lowest one) is 0.110 eV/atom. Its crystal system is orthorhombic.